# 1
The following is a PBE calculation of an optimized crystal structure of GaTcSn2Hg, from the Alexandria database.

Geometry as POSCAR:
```
GaTcSn2Hg
1.0
-1.474 -2.016 -4.539
2.071 -4.553 1.349
-4.322 -1.370 2.012
Tc Hg Ga Sn
1 1 1 2
Cartesian
0.000 0.000 0.000 Tc
-1.862 -3.969 -0.589 Hg
-2.161 -0.685 1.006 Ga
1.036 -2.276 0.675 Sn
-0.737 -1.008 -2.270 Sn
```

Values from the calculation:
Density of states at the Fermi level, states/eV per cell: 0.6
DFT total energy, eV for the cell shown: -21.5
Size of the total moment, μB/cell: 0.00

# 2
The following is a PBE calculation of an optimized crystal structure of TlGaSnHg, from the Alexandria database.

Geometry as POSCAR:
```
TlGaSnHg
1.0
3.427 0.000 -0.006
0.000 3.837 0.000
-1.710 0.000 8.107
Tl Ga Sn Hg
1 1 1 1
Cartesian
1.822 1.918 3.553 Tl
1.840 1.918 7.316 Ga
1.848 0.000 0.838 Sn
0.111 0.000 5.619 Hg
```

Values from the calculation:
Density of states at the Fermi level, states/eV per cell: 1.8
DFT total energy, eV for the cell shown: -9.4
Excess energy over the best structure of this formula in the dataset, eV per atom: 0.0091
Size of the total moment, μB/cell: 0.00

# 3
The following is a PBE calculation of an optimized crystal structure of TlGaSnHg, from the Alexandria database.

Geometry as POSCAR:
```
TlGaSnHg
1.0
5.276 0.000 0.000
2.638 4.569 0.000
2.638 1.523 4.308
Tl Hg Ga Sn
1 1 1 1
Cartesian
7.914 4.569 3.231 Tl
0.000 0.000 0.000 Hg
5.276 3.046 2.154 Ga
2.638 1.523 1.077 Sn
```

Values from the calculation:
Density of states at the Fermi level, states/eV per cell: 1.5
DFT total energy, eV for the cell shown: -9.5
Excess energy over the best structure of this formula in the dataset, eV per atom: 0.0000
Size of the total moment, μB/cell: 0.00